Computed, not measured: a relaxed structure of SmDy2Zn4Si4 at the PBE level of DFT.

Unit cell a=4.041 b=4.107 c=24.663 alpha=90.00 beta=90.00 gamma=90.00
Space group Immm (No. 71)
Inequivalent atoms, fractional coordinates:
Sm 0.000 0.000 0.000 x2
Dy 0.000 0.500 0.144 x4
Zn 0.000 0.000 0.251 x4
Zn 0.000 0.500 0.405 x4
Si 0.000 0.000 0.452 x4
Si 0.000 0.500 0.310 x4

Computed properties:
Electronic total energy   -4.2365 eV/atom
Size of the total moment   0.00 μB per formula unit